Density functional theory data (PBE) for crystalline SmDy2Cu4Sn4 at its relaxed geometry.

The structure in POSCAR format:
```
SmDy2Cu4Sn4
1.0
-2.235 3.500 7.390
2.235 -3.500 7.390
2.235 3.500 -7.390
Sm Dy Cu Sn
1 2 4 4
Direct
0.000 0.000 0.000
0.368 0.868 0.500
0.632 0.132 0.500
0.017 0.331 0.686
0.356 0.669 0.686
0.644 0.331 0.314
0.983 0.669 0.314
0.218 0.218 0.000
0.300 0.500 0.800
0.700 0.500 0.200
0.782 0.782 0.000
```

Output
Calculated total energy ... -4.591 eV/atom
Space-group type ... Immm (71)
Spin magnetization ... 0.0 μB/f.u.
Theoretical density ... 8.65 Mg/m³

***

Density functional theory data (PBE) for crystalline Dy2HoIn3AgPt2 at its relaxed geometry.

The structure in POSCAR format:
```
Dy2HoIn3AgPt2
1.0
3.764 0.000 0.000
0.000 6.769 3.912
0.000 -6.769 3.912
Dy Ho In Ag Pt
2 1 3 1 2
Direct
0.000 0.205 0.795
0.000 0.795 0.205
0.000 0.386 0.386
0.500 0.065 0.065
0.500 0.526 0.795
0.500 0.795 0.526
0.000 0.795 0.795
0.500 0.129 0.462
0.500 0.462 0.129
```

Output
Calculated total energy ... -4.929 eV/atom
Space-group type ... Amm2 (38)
Spin magnetization ... 0.0 μB/f.u.
Theoretical density ... 11.10 Mg/m³

***

Density functional theory data (PBE) for crystalline ScAgF3 at its relaxed geometry.

The structure in POSCAR format:
```
ScAgF3
1.0
3.430 0.000 0.000
0.000 3.430 0.000
0.000 0.000 5.794
Sc Ag F
1 1 3
Direct
0.000 0.000 0.000
0.500 0.500 0.494
0.000 0.500 0.809
0.500 0.000 0.809
0.500 0.500 0.108
```

Output
Calculated total energy ... -5.283 eV/atom
Space-group type ... P4mm (99)
Spin magnetization ... 0.0 μB/f.u.
Theoretical density ... 5.11 Mg/m³

***

Density functional theory data (PBE) for crystalline NdTaN2O at its relaxed geometry.

The structure in POSCAR format:
```
NdTaN2O
1.0
5.517 0.000 0.000
-2.753 4.886 0.000
-2.631 -1.693 5.140
Nd Ta N O
2 2 4 2
Direct
0.000 0.000 0.000
0.471 0.737 0.219
0.063 0.553 0.557
0.457 0.226 0.663
0.210 0.384 0.391
0.489 0.927 0.833
0.916 0.546 0.840
0.988 0.797 0.361
0.312 0.349 0.864
0.583 0.181 0.380
```

Output
Calculated total energy ... -9.439 eV/atom
Space-group type ... P1 (1)
Spin magnetization ... 0.0 μB/f.u.
Theoretical density ... 8.85 Mg/m³

***

Density functional theory data (PBE) for crystalline PmZrO3 at its relaxed geometry.

The structure in POSCAR format:
```
PmZrO3
1.0
4.136 0.000 0.000
0.000 4.136 0.000
0.000 0.000 4.317
Pm Zr O
1 1 3
Direct
0.000 0.000 0.000
0.500 0.500 0.619
0.000 0.500 0.733
0.500 0.000 0.733
0.500 0.500 0.156
```

Output
Calculated total energy ... -8.597 eV/atom
Space-group type ... P4mm (99)
Spin magnetization ... 0.2 μB/f.u.
Theoretical density ... 6.39 Mg/m³

***

Density functional theory data (PBE) for crystalline Zn2BiO4 at its relaxed geometry.

The structure in POSCAR format:
```
Zn2BiO4
1.0
0.000 4.461 4.461
4.461 0.000 4.461
4.461 4.461 0.000
Zn Bi O
4 2 8
Direct
0.000 0.000 0.000
0.000 0.000 0.500
0.000 0.500 0.000
0.500 0.000 0.000
0.375 0.375 0.375
0.625 0.625 0.625
0.210 0.763 0.763
0.237 0.237 0.237
0.237 0.237 0.790
0.237 0.790 0.237
0.763 0.210 0.763
0.763 0.763 0.210
0.763 0.763 0.763
0.790 0.237 0.237
```

Output
Calculated total energy ... -4.921 eV/atom
Space-group type ... Fd-3m (227)
Theoretical density ... 7.55 Mg/m³